No. 1
Zr2IrPb after structural relaxation. Source: Alexandria via LeMat-Bulk, functional GGA-PBEsol.

Properties
density of states at the Fermi level	2.7	states/eV/f.u.
SG	No. 166
total magnetic moment	0.00	μB/f.u.
total DFT energy (no corrections)	-8.327	eV/atom

POSCAR file:
```
Zr2IrPb
1.0
3.593 0.000 0.000
1.796 3.111 0.000
1.796 1.037 8.086
Ir Pb Zr
1 1 2
Direct
0.000 0.000 0.000 Ir
0.500 0.500 0.500 Pb
0.268 0.268 0.197 Zr
0.732 0.732 0.803 Zr
```

=====

No. 2
NbSnHgC2 after structural relaxation. Source: Alexandria via LeMat-Bulk, functional GGA-PBEsol.

Properties
density of states at the Fermi level	3.8	states/eV/f.u.
SG	No. 123
total magnetic moment	0.00	μB/f.u.
total DFT energy (no corrections)	-4.456	eV/atom

POSCAR file:
```
NbSnHgC2
1.0
-3.844 -0.006 -1.482
1.381 -1.515 -3.574
-0.725 -5.145 1.901
C Nb Hg Sn
2 1 1 1
Direct
0.000 0.500 0.000 C
0.500 0.000 0.000 C
0.000 0.000 0.500 Nb
0.000 0.000 0.000 Hg
0.500 0.500 0.500 Sn
```

=====

No. 3
Rb3AlAu after structural relaxation. Source: Alexandria via LeMat-Bulk, functional GGA-PBEsol.

Properties
density of states at the Fermi level	4.5	states/eV/f.u.
SG	No. 221
total magnetic moment	0.00	μB/f.u.
energy relative to the lowest polymorph listed for this composition	0.000	eV/f.u.

POSCAR file:
```
Rb3AlAu
1.0
6.375 0.000 0.000
0.000 6.375 0.000
0.000 0.000 6.375
Au Al Rb
1 1 3
Direct
0.000 0.000 0.000 Au
0.500 0.500 0.500 Al
0.000 0.500 0.000 Rb
0.000 0.000 0.500 Rb
0.500 0.000 0.000 Rb
```

=====

No. 4
Ba3SrO4 after structural relaxation. Source: Alexandria via LeMat-Bulk, functional GGA-PBEsol.

Properties
density of states at the Fermi level	0.0	states/eV/f.u.
SG	No. 221
total magnetic moment	0.00	μB/f.u.
total DFT energy (no corrections)	-6.192	eV/atom

POSCAR file:
```
Ba3SrO4
1.0
-4.701 -1.038 2.549
-0.236 -4.876 -2.419
2.742 -2.198 4.163
Sr Ba O
1 3 4
Direct
0.500 0.500 0.500 Sr
0.500 0.000 0.000 Ba
0.000 0.500 0.000 Ba
0.000 0.000 0.500 Ba
0.000 0.500 0.500 O
0.500 0.000 0.500 O
0.500 0.500 0.000 O
0.000 0.000 0.000 O
```

=====

No. 5
K2LaMo after structural relaxation. Source: Alexandria via LeMat-Bulk, functional GGA-PBEsol.

Properties
density of states at the Fermi level	4.0	states/eV/f.u.
SG	No. 216
total magnetic moment	2.88	μB/f.u.
total DFT energy (no corrections)	-3.509	eV/atom

POSCAR file:
```
K2LaMo
1.0
5.671 0.000 0.000
2.836 4.912 0.000
2.836 1.637 4.631
K La Mo
2 1 1
Direct
0.000 0.000 0.000 K
0.750 0.750 0.750 K
0.500 0.500 0.500 La
0.250 0.250 0.250 Mo
```

=====

No. 6
La2SnGeMo after structural relaxation. Source: Alexandria via LeMat-Bulk, functional GGA-PBEsol.

Properties
density of states at the Fermi level	6.6	states/eV/f.u.
SG	No. 123
total magnetic moment	0.00	μB/f.u.
total DFT energy (no corrections)	-6.196	eV/atom

POSCAR file:
```
La2SnGeMo
1.0
5.159 0.000 0.000
0.000 5.291 0.000
0.000 0.000 5.291
Mo Ge Sn La
1 1 1 2
Direct
0.000 0.000 0.000 Mo
0.500 0.500 0.500 Ge
0.500 0.000 0.000 Sn
0.000 0.000 0.500 La
0.000 0.500 0.000 La
```